Entry 1:
# NaCd2Pb

An optimized crystal structure of NaCd2Pb (PBE, Alexandria via LeMat-Bulk).

ΔH_f (0 K)   71 meV/atom
DOS at the Fermi energy   8.2 states/eV per cell
Final energy   -26.299 eV/cell

abc: 4.5180 4.5180 21.9620
angles: 90.00 90.00 90.00
Space group I-42d (No. 122)
Inequivalent atoms, fractional coordinates:
Na 0.0000 0.0000 0.0000 x4
Cd 0.2433 0.2500 0.1250 x8
Pb 0.0000 0.0000 0.5000 x4

***

Entry 2:
# Mg3Ag2F8

An optimized crystal structure of Mg3Ag2F8 (PBE, Alexandria via LeMat-Bulk).

Formation energy without anion corrections   -35.12 eV/f.u.
DOS at the Fermi energy   0.0 states/eV per cell
Final energy   -121.163 eV/cell

abc: 11.2198 6.2569 5.2845
angles: 90.00 90.71 90.00
Space group C2/m (No. 12)
Inequivalent atoms, fractional coordinates:
Mg 0.0000 0.0000 0.0000 x2
Mg 0.0000 0.2570 0.5000 x4
Ag 0.2178 0.5000 0.0025 x4
F 0.0908 0.0000 0.6734 x4
F 0.0956 0.2203 0.1833 x8
F 0.0976 0.5000 0.6305 x4

***

Entry 3:
# Ca2TbRh2

An optimized crystal structure of Ca2TbRh2 (PBE, Alexandria via LeMat-Bulk).

ΔH_f (0 K)   -497 meV/atom
DOS at the Fermi energy   4.5 states/eV per cell
Final energy   -51.639 eV/cell

abc: 10.2058 6.1533 4.2541
angles: 90.00 114.49 90.00
Space group C2/m (No. 12)
Inequivalent atoms, fractional coordinates:
Ca 0.1952 0.0000 0.1955 x4
Tb 0.0000 0.5000 0.0000 x2
Rh 0.0000 0.2208 0.5000 x4

***

Entry 4:
# GaTe2WBr

An optimized crystal structure of GaTe2WBr (PBE, Alexandria via LeMat-Bulk).

Formation energy without anion corrections   6.16 eV/f.u.
DOS at the Fermi energy   5.9 states/eV per cell
Final energy   -17.779 eV/cell

abc: 5.3673 5.3673 5.0998
angles: 90.00 90.00 90.00
Space group P4/mmm (No. 123)
Inequivalent atoms, fractional coordinates:
Ga 0.0000 0.0000 0.0000 x1
Te 0.0000 0.5000 0.0000 x2
W 0.0000 0.0000 0.5000 x1
Br 0.5000 0.5000 0.5000 x1

***

Entry 5:
# TaCuNi2Cl

An optimized crystal structure of TaCuNi2Cl (PBE, Alexandria via LeMat-Bulk).

Formation energy without anion corrections   6.09 eV/f.u.
DOS at the Fermi energy   6.7 states/eV per cell
Final energy   -23.266 eV/cell

abc: 4.4209 4.4209 4.1716
angles: 90.00 90.00 90.00
Space group P4/mmm (No. 123)
Inequivalent atoms, fractional coordinates:
Ta 0.0000 0.0000 0.0000 x1
Cu 0.5000 0.5000 0.5000 x1
Ni 0.0000 0.5000 0.5000 x2
Cl 0.5000 0.5000 0.0000 x1

***

Entry 6:
# CsNaAuBr3

An optimized crystal structure of CsNaAuBr3 (PBE, Alexandria via LeMat-Bulk).

Formation energy without anion corrections   -6.52 eV/f.u.
DOS at the Fermi energy   0.0 states/eV per cell
Final energy   -67.941 eV/cell

abc: 17.7422 7.7929 7.0704
angles: 90.00 99.81 90.00
Space group C2/m (No. 12)
Inequivalent atoms, fractional coordinates:
Cs 0.2380 0.0000 0.2141 x4
Na 0.0548 0.5000 0.2147 x4
Au 0.0000 0.2259 0.5000 x4
Br 0.0745 0.2486 0.8209 x8
Br 0.2111 0.5000 0.2702 x4

***

Entry 7:
# BaTc3Sb

An optimized crystal structure of BaTc3Sb (PBE, Alexandria via LeMat-Bulk).

Formation energy without anion corrections   6.65 eV/f.u.
DOS at the Fermi energy   8.9 states/eV per cell
Polymorph energy (0 for the lowest one)   0 meV/atom
Final energy   -30.489 eV/cell

abc: 5.0382 5.0382 5.0382
angles: 90.00 90.00 90.00
Space group Pm-3m (No. 221)
Inequivalent atoms, fractional coordinates:
Ba 0.0000 0.0000 0.0000 x1
Tc 0.0000 0.5000 0.5000 x3
Sb 0.5000 0.5000 0.5000 x1

***

Entry 8:
# Ho3AlTe6

An optimized crystal structure of Ho3AlTe6 (PBE, Alexandria via LeMat-Bulk).

Formation energy without anion corrections   -11.13 eV/f.u.
Final energy   -189.835 eV/cell

abc: 12.0582 14.9184 7.2304
angles: 90.00 90.00 90.00
Space group Cmc2_1 (No. 36)
Inequivalent atoms, fractional coordinates:
Ho 0.0000 0.0948 0.0000 x4
Ho 0.1810 0.4031 0.1092 x8
Al 0.0000 0.2951 0.6451 x4
Te 0.0000 0.2791 0.2814 x4
Te 0.0000 0.4601 0.7914 x4
Te 0.1638 0.0374 0.3024 x8
Te 0.1703 0.2304 0.8302 x8

***

Entry 9:
# Pr2Al3Zn6

An optimized crystal structure of Pr2Al3Zn6 (PBE, Alexandria via LeMat-Bulk).

ΔH_f (0 K)   -278 meV/atom
DOS at the Fermi energy   5.0 states/eV per cell
Polymorph energy (0 for the lowest one)   0 meV/atom
Final energy   -31.491 eV/cell

abc: 7.7787 7.7787 4.1719
angles: 90.00 90.00 120.00
Space group P-62m (No. 189)
Inequivalent atoms, fractional coordinates:
Pr 0.3333 0.6667 0.0000 x2
Al 0.0000 0.6263 0.5000 x3
Zn 0.0000 0.2934 0.5000 x3
Zn 0.0000 0.8111 0.0000 x3

***

Entry 10:
# Ce2Pu2Ge4Ir

An optimized crystal structure of Ce2Pu2Ge4Ir (PBE, Alexandria via LeMat-Bulk).

ΔH_f (0 K)   -426 meV/atom
DOS at the Fermi energy   48.9 states/eV per cell
Final energy   -143.398 eV/cell

abc: 7.0991 7.0991 8.3167
angles: 90.00 90.00 90.00
Space group I4/mmm (No. 139)
Inequivalent atoms, fractional coordinates:
Ce 0.0000 0.5000 0.2500 x4
Pu 0.0000 0.0000 0.1743 x4
Ge 0.2460 0.2460 0.5000 x8
Ir 0.0000 0.0000 0.5000 x2

***

Entry 11:
# Sm2ThTe

An optimized crystal structure of Sm2ThTe (PBE, Alexandria via LeMat-Bulk).

Formation energy without anion corrections   -0.79 eV/f.u.
DOS at the Fermi energy   16.1 states/eV per cell
Polymorph energy (0 for the lowest one)   388 meV/atom
Final energy   -62.370 eV/cell

abc: 3.7921 3.7921 33.2433
angles: 90.00 90.00 120.00
Space group R-3m (No. 166, hexagonal axes)
Inequivalent atoms, fractional coordinates:
Sm 0.0000 0.0000 0.1019 x6
Th 0.0000 0.0000 0.0000 x3
Te 0.0000 0.0000 0.5000 x3

***

Entry 12:
# CaPr3Te6

An optimized crystal structure of CaPr3Te6 (PBE, Alexandria via LeMat-Bulk).

Formation energy without anion corrections   -13.10 eV/f.u.
DOS at the Fermi energy   10.6 states/eV per cell
Final energy   -96.589 eV/cell

abc: 7.6424 8.4959 13.0684
angles: 90.00 123.38 90.00
Space group P2_1/c (No. 14)
Inequivalent atoms, fractional coordinates:
Ca 0.0000 0.0000 0.0000 x2
Pr 0.1956 0.1202 0.7414 x4
Pr 0.5000 0.0000 0.5000 x2
Te 0.0855 0.1763 0.4250 x4
Te 0.2531 0.6763 0.4158 x4
Te 0.4299 0.0714 0.2441 x4